ZnCoHgF6: relaxed, PBE with a Hubbard U.

Cell lengths 5.423, 5.423, 9.816 Å; angles 90.00, 90.00, 120.00 degrees
Positions (direct):
Zn (0.333, 0.667, 0.250)
Zn (0.667, 0.333, 0.750)
Co (0.333, 0.667, 0.750)
Co (0.667, 0.333, 0.250)
Hg (0.000, 0.000, 0.000)
Hg (0.000, 0.000, 0.500)
F (0.001, 0.357, 0.639)
F (0.001, 0.644, 0.861)
F (0.356, 0.357, 0.861)
F (0.356, 0.999, 0.639)
F (0.357, 0.001, 0.139)
F (0.357, 0.356, 0.361)
F (0.643, 0.644, 0.639)
F (0.643, 0.999, 0.861)
F (0.644, 0.001, 0.361)
F (0.644, 0.643, 0.139)
F (0.999, 0.356, 0.139)
F (0.999, 0.643, 0.361)

Summary:
- Uncorrected energy: -70.91 eV/cell